Record 1
First-principles (PBE) data for an optimized crystal structure of AlCu4Si2, as listed in the Alexandria database.

```
7
Lattice="1.958 -3.392 0.000 1.958 3.392 0.000 0.000 0.000 7.618" Properties=species:S:1:pos:R:3 pbc="T T T"
Cu 1.958 -1.131 3.592
Cu 1.958 -1.131 6.087
Cu 0.000 0.000 2.095
Cu 0.000 0.000 7.335
Si 1.958 -1.131 0.848
Si 1.958 1.131 3.119
Al 0.000 0.000 4.868
```

Its symmetry is P3m1 (156). The value obtained for the formation energy from raw total energies is 0.0752 eV per atom. The density of states at the Fermi level comes out at 1.30 states/eV per cell.

Record 2
First-principles (PBE) data for an optimized crystal structure of AlCu2Si3, as listed in the Alexandria database.

```
6
Lattice="2.519 -4.364 0.000 2.519 4.364 0.000 0.000 0.000 4.120" Properties=species:S:1:pos:R:3 pbc="T T T"
Si 2.519 0.000 2.060
Si 1.260 2.182 2.060
Si 1.260 -2.182 2.060
Al 0.000 0.000 0.000
Cu 2.519 -1.455 0.000
Cu 2.519 1.455 0.000
```

Its symmetry is P6/mmm (191). The value obtained for the formation energy from raw total energies is 0.3158 eV per atom. The density of states at the Fermi level comes out at 1.79 states/eV per cell.

Record 3
First-principles (PBE) data for an optimized crystal structure of AlCu2Si, as listed in the Alexandria database.

```
4
Lattice="8.556 0.059 0.035 8.108 2.731 0.035 8.108 1.357 2.370" Properties=species:S:1:pos:R:3 pbc="T T T"
Cu 24.732 4.141 2.435
Cu 6.196 1.037 0.610
Si 12.532 2.098 1.234
Al 18.470 3.092 1.819
```

Its symmetry is R3m (160). The value obtained for the formation energy from raw total energies is 0.0584 eV per atom. The density of states at the Fermi level comes out at 0.93 states/eV per cell.

Record 4
First-principles (PBE) data for an optimized crystal structure of Al2Cu12Si, as listed in the Alexandria database.

```
30
Lattice="4.810 0.000 0.000 0.000 4.810 0.000 0.000 0.000 17.663" Properties=species:S:1:pos:R:3 pbc="T T T"
Cu 3.248 0.843 7.729
Cu 1.562 0.843 9.934
Cu 1.203 1.202 1.731
Cu 0.843 1.562 7.729
Cu 0.843 3.248 9.934
Cu 3.608 1.203 1.731
Cu 0.000 0.000 11.699
Cu 1.202 1.203 15.932
Cu 2.405 2.405 11.699
Cu 3.608 3.606 15.932
Cu 0.000 0.000 14.064
Cu 0.000 0.000 3.600
Cu 1.202 3.606 1.731
Cu 2.405 2.405 5.964
Cu 3.606 3.608 1.731
Cu 0.000 0.000 5.964
Cu 1.562 3.967 7.729
Cu 3.248 3.967 9.934
Cu 2.405 2.405 14.064
Cu 3.606 1.202 15.932
Cu 3.967 3.248 7.729
Cu 1.203 3.608 15.932
Cu 3.967 1.562 9.934
Cu 2.405 2.405 3.600
Al 2.405 0.000 12.757
Al 2.405 0.000 4.906
Al 0.000 2.405 4.906
Al 0.000 2.405 12.757
Si 0.000 2.405 0.000
Si 2.405 0.000 0.000
```

Its symmetry is P4/nbm (125). The value obtained for the formation energy from raw total energies is 0.1287 eV per atom. The density of states at the Fermi level comes out at 10.34 states/eV per cell.